# 1
Pm2SbPd5: relaxed, PBE.

The structure belongs to space group I4mm (No. 107); the cell edges are 6.278, 6.278 and 8.305 Å and the angles 90.00°, 90.00° and 90.00°. The inequivalent atoms are Pm at (0.000, 0.500, 0.000), Sb at (0.000, 0.000, 0.348), Pd at (0.000, 0.000, 0.009) and Pd at (0.219, 0.219, 0.743).

As for the uncorrected formation energy: -740 meV/atom. The value obtained for the final energy is -5.69 eV per atom.

# 2
PmSnGe2: relaxed, PBE.

The structure belongs to space group R-3m (No. 166, hexagonal axes); the cell edges are 4.8047, 4.8047 and 14.6229 Å and the angles 90.00°, 90.00° and 120.00°. The inequivalent atoms are Pm at (0.0000, 0.0000, 0.0000), Sn at (0.0000, 0.0000, 0.5000) and Ge at (0.0000, 0.0000, 0.2206).

The relative energy among the computed polymorphs comes out at 194 meV per atom. The value obtained for the final energy is -4.73 eV per atom.

# 3
BaTbMg4: relaxed, PBE.

The structure belongs to space group F-43m (No. 216); the cell edges are 8.911, 8.911 and 8.911 Å and the angles 90.00°, 90.00° and 90.00°. The inequivalent atoms are Ba at (0.000, 0.000, 0.000), Tb at (0.250, 0.250, 0.750) and Mg at (0.124, 0.124, 0.376).

The value obtained for the final energy is -2.18 eV per atom.